{"formula": "Be2TlCu2", "functional": "PBE", "state": "relaxed", "spacegroup": "I4/mmm (139)", "total_magnetization_mub_per_cell": 0.0, "crystal_system": "tetragonal", "polymorph_energy_ev_per_atom": 0.000, "final_energy_ev_per_atom": -3.31, "dos_ef_per_ev_cell": 1.18, "lattice_angstrom": [[-1.567, 1.567, 7.133], [1.567, -1.567, 7.133], [1.567, 1.567, -7.133]], "species": ["Be", "Be", "Tl", "Cu", "Cu"], "frac_coords": [[0.250, 0.750, 0.500], [0.750, 0.250, 0.500], [0.000, 0.000, 0.000], [0.366, 0.366, 0.000], [0.634, 0.634, 0.000]]}